Entry 1:
{"formula": "La2YAu", "functional": "PBE", "state": "optimized geometry", "lattice_angstrom": [[0.000, 3.823, 3.823], [3.823, 0.000, 3.823], [3.823, 3.823, 0.000]], "species": ["La", "La", "Y", "Au"], "fractional_positions": [[0.000, 0.000, 0.000], [0.250, 0.250, 0.250], [0.500, 0.500, 0.500], [0.750, 0.750, 0.750]], "sg": "F-43m", "relative_energy_mev_per_atom": 226}

***

Entry 2:
{"formula": "LaYAu2", "functional": "PBE", "state": "optimized geometry", "lattice_angstrom": [[3.868, 0.000, 0.000], [0.000, 4.783, 0.000], [-1.913, 0.000, 5.639]], "species": ["La", "Y", "Au", "Au"], "fractional_positions": [[0.000, 0.000, 0.000], [0.727, 0.500, 0.450], [0.274, 0.000, 0.546], [0.449, 0.500, 0.897]], "sg": "Pm"}

***

Computed ΔE_f (meV/atom) in order:
-167; -838